<a>
DFT (PBE) results for crystalline RePt2Rh at its relaxed geometry.

Cell: 2.747 2.747 7.970 Å, 90.00 90.00 90.00°
Fractional positions:
Re 0.000 0.000 0.507
Rh 0.500 0.500 0.736
Pt 0.000 0.000 0.996
Pt 0.500 0.500 0.261

Calculated values
The volume is 60.13 Å³/cell.



<b>
DFT (PBE) results for crystalline RePt2Rh at its relaxed geometry.

Cell: 3.962 2.758 6.137 Å, 63.31 90.00 90.00°
Fractional positions:
Re 0.500 0.250 0.250
Rh 0.500 0.750 0.750
Pt 0.000 0.992 0.006
Pt 0.000 0.508 0.494

Calculated values
The volume is 59.91 Å³/cell.



Relative energy table, unit eV/atom: <a> 0.000; <b> 0.084



<a>
DFT (PBE) results for crystalline RePt2Rh at its relaxed geometry.

Cell: 2.753 3.919 5.560 Å, 90.00 90.00 90.00°
Fractional positions:
Re 0.000 0.000 0.508
Rh 0.500 0.500 0.737
Pt 0.000 0.000 0.996
Pt 0.500 0.500 0.259

Calculated values
The volume is 59.97 Å³/cell.



<b>
DFT (PBE) results for crystalline RePt2Rh at its relaxed geometry.

Cell: 7.077 7.077 5.674 Å, 51.42 51.42 90.00°
Fractional positions:
Re 0.000 0.000 0.000
Re 0.750 0.250 0.500
Rh 0.500 0.500 0.000
Rh 0.250 0.750 0.500
Pt 0.642 0.125 0.250
Pt 0.108 0.625 0.250
Pt 0.375 0.358 0.750
Pt 0.875 0.892 0.750

Calculated values
The volume is 133.91 Å³/cell.



<c>
DFT (PBE) results for crystalline RePt2Rh at its relaxed geometry.

Cell: 4.798 4.798 4.811 Å, 80.68 80.68 33.27°
Fractional positions:
Re 0.499 0.499 0.505
Rh 0.754 0.754 0.739
Pt 0.001 0.001 0.998
Pt 0.247 0.247 0.257

Calculated values
The volume is 59.89 Å³/cell.



Relative energy table, unit eV/atom: <a> 0.000; <b> 0.623; <c> 0.020



<a>
DFT (PBE) results for crystalline RePt2Rh at its relaxed geometry.

Cell: 9.224 9.224 9.224 Å, 17.27 17.27 17.27°
Fractional positions:
Re 0.498 0.498 0.498
Rh 0.754 0.754 0.754
Pt 0.001 0.001 0.001
Pt 0.247 0.247 0.247

Calculated values
The volume is 60.33 Å³/cell.



<b>
DFT (PBE) results for crystalline RePt2Rh at its relaxed geometry.

Cell: 4.425 4.425 4.425 Å, 60.00 60.00 60.00°
Fractional positions:
Re 0.500 0.500 0.500
Pt 0.000 0.000 0.000
Pt 0.750 0.750 0.750
Rh 0.250 0.250 0.250

Calculated values
The volume is 61.25 Å³/cell.



<c>
DFT (PBE) results for crystalline RePt2Rh at its relaxed geometry.

Cell: 4.820 4.820 4.818 Å, 132.44 132.44 69.56°
Fractional positions:
Re 0.500 0.500 0.000
Rh 0.250 0.750 0.500
Pt 0.000 0.000 0.000
Pt 0.750 0.250 0.500

Calculated values
The volume is 59.79 Å³/cell.



Relative energy table, unit eV/atom: <a> 0.000; <b> 0.376; <c> 0.042



<a>
DFT (PBE) results for crystalline RePt2Rh3 at its relaxed geometry.

Cell: 3.869 5.512 8.270 Å, 89.67 90.00 90.00°
Fractional positions:
Re 0.250 0.873 0.746
Re 0.750 0.127 0.254
Pt 0.250 0.375 0.410
Pt 0.750 0.625 0.590
Pt 0.750 0.123 0.915
Pt 0.250 0.877 0.085
Rh 0.750 0.117 0.584
Rh 0.250 0.883 0.416
Rh 0.750 0.630 0.247
Rh 0.250 0.370 0.753
Rh 0.250 0.372 0.090
Rh 0.750 0.628 0.910

Calculated values
The volume is 176.34 Å³/cell.



<b>
DFT (PBE) results for crystalline RePt2Rh3 at its relaxed geometry.

Cell: 2.732 5.480 12.232 Å, 90.00 90.00 90.00°
Fractional positions:
Re 0.000 0.500 0.000
Re 0.500 0.000 0.500
Pt 0.500 0.753 0.156
Pt 0.000 0.747 0.656
Pt 0.000 0.253 0.344
Pt 0.500 0.247 0.844
Rh 0.000 0.000 0.000
Rh 0.500 0.500 0.500
Rh 0.500 0.249 0.152
Rh 0.500 0.751 0.848
Rh 0.000 0.251 0.652
Rh 0.000 0.749 0.348

Calculated values
The volume is 183.12 Å³/cell.



Relative energy table, unit eV/atom: <a> 0.000; <b> 0.121



<a>
DFT (PBE) results for crystalline RePt3Rh at its relaxed geometry.

Cell: 4.768 4.768 4.768 Å, 90.00 90.00 90.00°
Fractional positions:
Re 0.000 0.000 0.000
Rh 0.500 0.500 0.500
Pt 0.000 0.500 0.000
Pt 0.000 0.000 0.500
Pt 0.500 0.000 0.000

Calculated values
The volume is 108.41 Å³/cell.



<b>
DFT (PBE) results for crystalline RePt3Rh at its relaxed geometry.

Cell: 2.779 2.779 22.712 Å, 90.00 90.00 120.00°
Fractional positions:
Re 0.000 0.000 0.026
Re 0.000 0.000 0.526
Pt 0.000 0.000 0.323
Pt 0.000 0.000 0.823
Pt 0.333 0.667 0.123
Pt 0.667 0.333 0.623
Pt 0.667 0.333 0.928
Pt 0.333 0.667 0.428
Rh 0.333 0.667 0.724
Rh 0.667 0.333 0.224

Calculated values
The volume is 151.90 Å³/cell.



<c>
DFT (PBE) results for crystalline RePt3Rh at its relaxed geometry.

Cell: 5.779 7.705 7.433 Å, 90.00 90.00 90.00°
Fractional positions:
Re 0.000 0.500 0.000
Re 0.500 0.000 0.500
Re 0.500 0.000 0.000
Re 0.000 0.500 0.500
Pt 0.867 0.186 0.932
Pt 0.633 0.686 0.432
Pt 0.633 0.686 0.068
Pt 0.133 0.814 0.432
Pt 0.133 0.814 0.068
Pt 0.367 0.314 0.568
Pt 0.367 0.314 0.932
Pt 0.867 0.186 0.568
Pt 0.197 0.996 0.750
Pt 0.303 0.496 0.250
Pt 0.803 0.004 0.250
Pt 0.697 0.504 0.750
Rh 0.249 0.631 0.750
Rh 0.251 0.131 0.250
Rh 0.751 0.369 0.250
Rh 0.749 0.869 0.750

Calculated values
The volume is 330.96 Å³/cell.



Relative energy table, unit eV/atom: <a> 1.543; <b> 0.000; <c> 0.286



<a>
DFT (PBE) results for crystalline RePt3Rh3 at its relaxed geometry.

Cell: 2.652 11.343 11.343 Å, 120.00 90.00 90.00°
Fractional positions:
Re 0.250 0.667 0.333
Re 0.750 0.333 0.667
Pt 0.750 0.591 0.862
Pt 0.750 0.271 0.409
Pt 0.250 0.862 0.271
Pt 0.750 0.138 0.729
Pt 0.250 0.729 0.591
Pt 0.250 0.409 0.138
Rh 0.750 0.081 0.467
Rh 0.750 0.385 0.919
Rh 0.250 0.467 0.385
Rh 0.750 0.533 0.615
Rh 0.250 0.615 0.081
Rh 0.250 0.919 0.533

Calculated values
The volume is 295.46 Å³/cell.



<b>
DFT (PBE) results for crystalline RePt3Rh3 at its relaxed geometry.

Cell: 5.377 5.377 7.814 Å, 90.00 90.00 88.29°
Fractional positions:
Re 0.229 0.229 0.000
Re 0.771 0.771 0.000
Pt 0.000 0.000 0.751
Pt 0.500 0.000 0.244
Pt 0.000 0.500 0.244
Pt 0.500 0.000 0.756
Pt 0.000 0.500 0.756
Pt 0.000 0.000 0.249
Rh 0.258 0.258 0.500
Rh 0.259 0.741 0.500
Rh 0.741 0.259 0.500
Rh 0.306 0.694 0.000
Rh 0.694 0.306 0.000
Rh 0.742 0.742 0.500

Calculated values
The volume is 225.81 Å³/cell.



Relative energy table, unit eV/atom: <a> 0.341; <b> 0.000



<a>
DFT (PBE) results for crystalline ReRuPt at its relaxed geometry.

Cell: 4.788 4.788 4.788 Å, 146.81 132.10 59.52°
Fractional positions:
Re 0.326 0.326 0.000
Pt 0.000 0.000 0.000
Ru 0.674 0.674 0.000

Calculated values
The volume is 44.20 Å³/cell.



<b>
DFT (PBE) results for crystalline ReRuPt at its relaxed geometry.

Cell: 4.350 4.350 2.769 Å, 90.00 90.00 120.00°
Fractional positions:
Pt 0.000 0.000 0.000
Re 0.667 0.333 0.481
Ru 0.333 0.667 0.520

Calculated values
The volume is 45.37 Å³/cell.



<c>
DFT (PBE) results for crystalline ReRuPt at its relaxed geometry.

Cell: 4.296 5.461 8.888 Å, 98.31 103.99 90.00°
Fractional positions:
Pt 0.086 0.306 0.172
Pt 0.494 0.247 0.987
Pt 0.506 0.753 0.013
Pt 0.914 0.694 0.828
Ru 0.223 0.619 0.446
Ru 0.779 0.895 0.557
Ru 0.777 0.381 0.554
Ru 0.221 0.105 0.443
Re 0.357 0.405 0.714
Re 0.638 0.052 0.276
Re 0.643 0.595 0.286
Re 0.362 0.948 0.724

Calculated values
The volume is 200.10 Å³/cell.



<d>
DFT (PBE) results for crystalline ReRuPt at its relaxed geometry.

Cell: 2.754 2.754 6.789 Å, 90.00 90.00 120.00°
Fractional positions:
Re 0.667 0.333 0.345
Pt 0.000 0.000 0.001
Ru 0.333 0.667 0.653

Calculated values
The volume is 44.58 Å³/cell.



Relative energy table, unit eV/atom: <a> 0.000; <b> 0.224; <c> 0.308; <d> 0.027



<a>
DFT (PBE) results for crystalline ReRuPt2 at its relaxed geometry.

Cell: 4.424 4.424 4.424 Å, 60.00 60.00 60.00°
Fractional positions:
Re 0.500 0.500 0.500
Pt 0.250 0.250 0.250
Pt 0.750 0.750 0.750
Ru 0.000 0.000 0.000

Calculated values
The volume is 61.22 Å³/cell.



<b>
DFT (PBE) results for crystalline ReRuPt2 at its relaxed geometry.

Cell: 5.663 5.663 6.818 Å, 65.46 65.46 90.00°
Fractional positions:
Re 0.000 0.000 0.000
Re 0.750 0.250 0.500
Pt 0.627 0.125 0.250
Pt 0.123 0.625 0.250
Pt 0.375 0.373 0.750
Pt 0.875 0.877 0.750
Ru 0.500 0.500 0.000
Ru 0.250 0.750 0.500

Calculated values
The volume is 176.98 Å³/cell.



<c>
DFT (PBE) results for crystalline ReRuPt2 at its relaxed geometry.

Cell: 4.429 4.429 4.429 Å, 60.00 60.00 60.00°
Fractional positions:
Pt 0.000 0.000 0.000
Pt 0.750 0.750 0.750
Re 0.500 0.500 0.500
Ru 0.250 0.250 0.250

Calculated values
The volume is 61.42 Å³/cell.



<d>
DFT (PBE) results for crystalline ReRuPt2 at its relaxed geometry.

Cell: 2.751 3.894 5.582 Å, 90.00 90.00 90.00°
Fractional positions:
Re 0.000 0.000 0.513
Pt 0.000 0.000 0.995
Pt 0.500 0.500 0.256
Ru 0.500 0.500 0.736

Calculated values
The volume is 59.80 Å³/cell.



Relative energy table, unit eV/atom: <a> 0.471; <b> 1.169; <c> 0.422; <d> 0.000